[1]
Material: TaNb3Ru
Method: DFT, PBE-GGA
State: optimized geometry

Results
- Fermi-level density of states (states/eV/cell) = 11.0
- energy (eV/cell) = -103.40
- ρ (g cm⁻³) = 10.701
- formation energy (kJ/mol of formula units) = -35
- total magnetization (μB per formula unit) = 0.00

The structure in CIF format:
```
data_TaNb3Ru
_chemical_formula_sum 'Ta2 Nb6 Ru2'
_cell_length_a 2.875
_cell_length_b 4.597
_cell_length_c 13.208
_cell_angle_alpha 90.00
_cell_angle_beta 94.51
_cell_angle_gamma 90.00
_space_group_name_H-M_alt 'P 1 21/m 1'
_space_group_IT_number 11
_space_group_name_Hall '-P 2yb'
loop_
_atom_site_label
_atom_site_type_symbol
_atom_site_fract_x
_atom_site_fract_y
_atom_site_fract_z
_atom_site_occupancy
Ta1 Ta 0.056 0.250 0.157 1
Nb1 Nb 0.247 0.250 0.743 1
Nb2 Nb 0.362 0.750 0.052 1
Nb3 Nb 0.453 0.250 0.367 1
Ru1 Ru 0.132 0.750 0.443 1
```



[2]
Material: Ta2Nb2Ru3
Method: DFT, PBE-GGA
State: optimized geometry

Results
- Fermi-level density of states (states/eV/cell) = 13.2
- energy (eV/cell) = -145.34
- ρ (g cm⁻³) = 11.944
- formation energy (kJ/mol of formula units) = -96
- total magnetization (μB per formula unit) = 0.00

The structure in CIF format:
```
data_Ta2Nb2Ru3
_chemical_formula_sum 'Ta4 Nb4 Ru6'
_cell_length_a 3.043
_cell_length_b 25.345
_cell_length_c 3.068
_cell_angle_alpha 90.00
_cell_angle_beta 90.00
_cell_angle_gamma 90.00
_space_group_name_H-M_alt 'C m m m'
_space_group_IT_number 65
_space_group_name_Hall '-C 2 2'
loop_
_atom_site_label
_atom_site_type_symbol
_atom_site_fract_x
_atom_site_fract_y
_atom_site_fract_z
_atom_site_occupancy
Ta1 Ta 0.000 0.067 0.000 1
Nb1 Nb 0.000 0.202 0.000 1
Ru1 Ru 0.000 0.372 0.500 1
Ru2 Ru 0.000 0.500 0.500 1
```



[3]
Material: Ta4Nb3Ru
Method: DFT, PBE-GGA
State: optimized geometry

Results
- Fermi-level density of states (states/eV/cell) = 18.3
- energy (eV/cell) = -175.86
- ρ (g cm⁻³) = 13.046
- formation energy (kJ/mol of formula units) = -100
- total magnetization (μB per formula unit) = 0.00

The structure in CIF format:
```
data_Ta4Nb3Ru
_chemical_formula_sum 'Ta8 Nb6 Ru2'
_cell_length_a 6.524
_cell_length_b 6.600
_cell_length_c 6.524
_cell_angle_alpha 90.00
_cell_angle_beta 90.00
_cell_angle_gamma 90.00
_space_group_name_H-M_alt 'P m n a'
_space_group_IT_number 53
_space_group_name_Hall '-P 2ac 2'
loop_
_atom_site_label
_atom_site_type_symbol
_atom_site_fract_x
_atom_site_fract_y
_atom_site_fract_z
_atom_site_occupancy
Ta1 Ta 0.000 0.000 0.000 1
Ta2 Ta 0.000 0.500 0.000 1
Ta3 Ta 0.250 0.243 0.250 1
Nb1 Nb 0.000 0.500 0.500 1
Nb2 Nb 0.250 0.247 0.750 1
Ru1 Ru 0.000 0.000 0.500 1
```



[4]
Material: Ta2Nb5Ru
Method: DFT, PBE-GGA
State: optimized geometry

Results
- Fermi-level density of states (states/eV/cell) = 12.8
- energy (eV/cell) = -169.18
- ρ (g cm⁻³) = 10.952
- formation energy (kJ/mol of formula units) = -121
- total magnetization (μB per formula unit) = 0.00

The structure in CIF format:
```
data_Ta2Nb5Ru
_chemical_formula_sum 'Ta4 Nb10 Ru2'
_cell_length_a 6.554
_cell_length_b 13.145
_cell_length_c 3.265
_cell_angle_alpha 90.00
_cell_angle_beta 90.00
_cell_angle_gamma 90.00
_space_group_name_H-M_alt 'P b a m'
_space_group_IT_number 55
_space_group_name_Hall '-P 2 2ab'
loop_
_atom_site_label
_atom_site_type_symbol
_atom_site_fract_x
_atom_site_fract_y
_atom_site_fract_z
_atom_site_occupancy
Ta1 Ta 0.241 0.122 0.000 1
Nb1 Nb 0.000 0.500 0.500 1
Nb2 Nb 0.007 0.751 0.500 1
Nb3 Nb 0.248 0.376 0.000 1
Ru1 Ru 0.000 0.000 0.500 1
```



[5]
Material: Ta3Nb2Ru2
Method: DFT, PBE-GGA
State: optimized geometry

Results
- Fermi-level density of states (states/eV/cell) = 11.1
- energy (eV/cell) = -148.95
- ρ (g cm⁻³) = 12.598
- formation energy (kJ/mol of formula units) = -22
- total magnetization (μB per formula unit) = 0.00

The structure in CIF format:
```
data_Ta3Nb2Ru2
_chemical_formula_sum 'Ta6 Nb4 Ru4'
_cell_length_a 3.006
_cell_length_b 27.151
_cell_length_c 3.007
_cell_angle_alpha 90.00
_cell_angle_beta 90.00
_cell_angle_gamma 90.00
_space_group_name_H-M_alt 'C m m m'
_space_group_IT_number 65
_space_group_name_Hall '-C 2 2'
loop_
_atom_site_label
_atom_site_type_symbol
_atom_site_fract_x
_atom_site_fract_y
_atom_site_fract_z
_atom_site_occupancy
Ta1 Ta 0.000 0.000 0.000 1
Ta2 Ta 0.000 0.127 0.000 1
Nb1 Nb 0.000 0.295 0.500 1
Ru1 Ru 0.000 0.434 0.500 1
```



[6]
Material: Ta2NbRu
Method: DFT, PBE-GGA
State: optimized geometry

Results
- Fermi-level density of states (states/eV/cell) = 2.0
- energy (eV/cell) = -44.19
- ρ (g cm⁻³) = 13.638
- formation energy (kJ/mol of formula units) = -110
- total magnetization (μB per formula unit) = 0.00

The structure in CIF format:
```
data_Ta2NbRu
_chemical_formula_sum 'Ta2 Nb1 Ru1'
_cell_length_a 4.583
_cell_length_b 4.583
_cell_length_c 3.222
_cell_angle_alpha 90.00
_cell_angle_beta 90.00
_cell_angle_gamma 90.00
_space_group_name_H-M_alt 'P 4/m m m'
_space_group_IT_number 123
_space_group_name_Hall '-P 4 2'
loop_
_atom_site_label
_atom_site_type_symbol
_atom_site_fract_x
_atom_site_fract_y
_atom_site_fract_z
_atom_site_occupancy
Ta1 Ta 0.000 0.500 0.000 1
Nb1 Nb 0.000 0.000 0.500 1
Ru1 Ru 0.500 0.500 0.500 1
```



[7]
Material: Ta6Nb3Ru
Method: DFT, PBE-GGA
State: optimized geometry

Results
- Fermi-level density of states (states/eV/cell) = 23.6
- energy (eV/cell) = -223.61
- ρ (g cm⁻³) = 13.720
- formation energy (kJ/mol of formula units) = -116
- total magnetization (μB per formula unit) = 0.00

The structure in CIF format:
```
data_Ta6Nb3Ru
_chemical_formula_sum 'Ta12 Nb6 Ru2'
_cell_length_a 8.067
_cell_length_b 4.657
_cell_length_c 9.797
_cell_angle_alpha 90.00
_cell_angle_beta 105.43
_cell_angle_gamma 90.00
_space_group_name_H-M_alt 'P 1 21/m 1'
_space_group_IT_number 11
_space_group_name_Hall '-P 2yb'
loop_
_atom_site_label
_atom_site_type_symbol
_atom_site_fract_x
_atom_site_fract_y
_atom_site_fract_z
_atom_site_occupancy
Ta1 Ta 0.050 0.250 0.394 1
Ta2 Ta 0.145 0.750 0.192 1
Ta3 Ta 0.148 0.250 0.700 1
Ta4 Ta 0.242 0.250 0.001 1
Ta5 Ta 0.346 0.750 0.805 1
Ta6 Ta 0.450 0.250 0.601 1
Nb1 Nb 0.246 0.750 0.498 1
Nb2 Nb 0.351 0.250 0.300 1
Nb3 Nb 0.454 0.750 0.101 1
Ru1 Ru 0.049 0.750 0.903 1
```



[8]
Material: Ta4NbRu
Method: DFT, PBE-GGA
State: optimized geometry

Results
- Fermi-level density of states (states/eV/cell) = 4.9
- energy (eV/cell) = -67.93
- ρ (g cm⁻³) = 14.583
- formation energy (kJ/mol of formula units) = -113
- total magnetization (μB per formula unit) = 0.00

The structure in CIF format:
```
data_Ta4NbRu
_chemical_formula_sum 'Ta4 Nb1 Ru1'
_cell_length_a 3.243
_cell_length_b 3.243
_cell_length_c 9.937
_cell_angle_alpha 90.00
_cell_angle_beta 90.00
_cell_angle_gamma 90.00
_space_group_name_H-M_alt 'P 4/m m m'
_space_group_IT_number 123
_space_group_name_Hall '-P 4 2'
loop_
_atom_site_label
_atom_site_type_symbol
_atom_site_fract_x
_atom_site_fract_y
_atom_site_fract_z
_atom_site_occupancy
Ta1 Ta 0.000 0.000 0.159 1
Ta2 Ta 0.500 0.500 0.331 1
Nb1 Nb 0.000 0.000 0.500 1
Ru1 Ru 0.500 0.500 0.000 1
```



[9]
Material: Ta6Nb2Ru
Method: DFT, PBE-GGA
State: optimized geometry

Results
- Fermi-level density of states (states/eV/cell) = 16.1
- energy (eV/cell) = -201.10
- ρ (g cm⁻³) = 14.107
- formation energy (kJ/mol of formula units) = -2
- total magnetization (μB per formula unit) = 0.00

The structure in CIF format:
```
data_Ta6Nb2Ru
_chemical_formula_sum 'Ta12 Nb4 Ru2'
_cell_length_a 7.226
_cell_length_b 14.469
_cell_length_c 3.143
_cell_angle_alpha 90.00
_cell_angle_beta 100.49
_cell_angle_gamma 90.00
_space_group_name_H-M_alt 'C 1 2/m 1'
_space_group_IT_number 12
_space_group_name_Hall '-C 2y'
loop_
_atom_site_label
_atom_site_type_symbol
_atom_site_fract_x
_atom_site_fract_y
_atom_site_fract_z
_atom_site_occupancy
Ta1 Ta 0.166 0.165 0.326 1
Ta2 Ta 0.173 0.000 0.828 1
Nb1 Nb 0.000 0.340 0.000 1
Ru1 Ru 0.000 0.500 0.500 1
```



[10]
Material: TaNb4Ru
Method: DFT, PBE-GGA
State: optimized geometry

Results
- Fermi-level density of states (states/eV/cell) = 26.7
- energy (eV/cell) = -237.92
- ρ (g cm⁻³) = 9.298
- formation energy (kJ/mol of formula units) = 186
- total magnetization (μB per formula unit) = 0.00

The structure in CIF format:
```
data_TaNb4Ru
_chemical_formula_sum 'Ta4 Nb16 Ru4'
_cell_length_a 4.728
_cell_length_b 18.259
_cell_length_c 5.409
_cell_angle_alpha 90.00
_cell_angle_beta 90.00
_cell_angle_gamma 90.00
_space_group_name_H-M_alt 'C m c 21'
_space_group_IT_number 36
_space_group_name_Hall 'C 2c -2'
loop_
_atom_site_label
_atom_site_type_symbol
_atom_site_fract_x
_atom_site_fract_y
_atom_site_fract_z
_atom_site_occupancy
Ta1 Ta 0.000 0.133 0.000 1
Nb1 Nb 0.000 0.127 0.510 1
Nb2 Nb 0.000 0.285 0.694 1
Nb3 Nb 0.000 0.291 0.203 1
Nb4 Nb 0.000 0.442 0.321 1
Ru1 Ru 0.000 0.420 0.831 1
```



[11]
Material: Ta5NbRu6
Method: DFT, PBE-GGA
State: optimized geometry

Results
- Fermi-level density of states (states/eV/cell) = 11.0
- energy (eV/cell) = -128.81
- ρ (g cm⁻³) = 13.841
- formation energy (kJ/mol of formula units) = -368
- total magnetization (μB per formula unit) = 0.00

The structure in CIF format:
```
data_Ta5NbRu6
_chemical_formula_sum 'Ta5 Nb1 Ru6'
_cell_length_a 4.600
_cell_length_b 6.116
_cell_length_c 7.018
_cell_angle_alpha 90.00
_cell_angle_beta 102.91
_cell_angle_gamma 90.00
_space_group_name_H-M_alt 'P 1 2/m 1'
_space_group_IT_number 10
_space_group_name_Hall '-P 2y'
loop_
_atom_site_label
_atom_site_type_symbol
_atom_site_fract_x
_atom_site_fract_y
_atom_site_fract_z
_atom_site_occupancy
Ta1 Ta 0.000 0.000 0.000 1
Ta2 Ta 0.313 0.500 0.675 1
Ta3 Ta 0.315 0.000 0.674 1
Nb1 Nb 0.000 0.500 0.000 1
Ru1 Ru 0.200 0.249 0.348 1
Ru2 Ru 0.500 0.248 0.000 1
```



[12]
Material: Ta12Nb6Ru
Method: DFT, PBE-GGA
State: optimized geometry

Results
- Fermi-level density of states (states/eV/cell) = 49.2
- energy (eV/cell) = -628.77
- ρ (g cm⁻³) = 13.218
- formation energy (kJ/mol of formula units) = 225
- total magnetization (μB per formula unit) = 0.00

The structure in CIF format:
```
data_Ta12Nb6Ru
_chemical_formula_sum 'Ta36 Nb18 Ru3'
_cell_length_a 9.8739
_cell_length_b 9.8739
_cell_length_c 12.6321
_cell_angle_alpha 90.00
_cell_angle_beta 90.00
_cell_angle_gamma 120.00
_space_group_name_H-M_alt 'R -3'
_space_group_IT_number 148
_space_group_name_Hall '-R 3'
loop_
_atom_site_label
_atom_site_type_symbol
_atom_site_fract_x
_atom_site_fract_y
_atom_site_fract_z
_atom_site_occupancy
Ta1 Ta 0.0465 0.1844 0.3042 1
Ta2 Ta 0.0647 0.8386 0.9165 1
Nb1 Nb 0.0339 0.4407 0.2067 1
Ru1 Ru 0.0000 0.0000 0.5000 1
```